# Y2TcBr, PBEsol geometry, DFT SCAN
# DFT total energy   -111.47 eV/cell
# Polymorph energy (0 for the lowest one)   375 meV/atom
# Total magnetic moment   0.000 μB/f.u.
data_Y2TcBr
_cell_length_a 4.045
_cell_length_b 4.045
_cell_length_c 5.700
_cell_angle_alpha 90.00
_cell_angle_beta 90.00
_cell_angle_gamma 90.00
_symmetry_space_group_name_H-M 'P 4 m m'
_symmetry_Int_Tables_number 99
_symmetry_space_group_name_Hall 'P 4 -2'
loop_
_atom_site_label
_atom_site_fract_x
_atom_site_fract_y
_atom_site_fract_z
Y1 0.000 0.000 0.000
Y2 0.500 0.500 0.436
Tc1 0.500 0.500 0.990
Br1 0.000 0.000 0.503